Entry 1:
DFT (PBEsol) results for a relaxed structure of BaTi2FeP.

* ΔE_f: 2.139 eV/atom
* size of the total moment: 1.420 μB/f.u.

Lattice parameters (Å, degrees): 4.541 4.941 4.941 90.00 90.00 90.00
Last column: magnetic moment on the atom in μB.
Sites, in units of the cell vectors:
Ba 0.000 0.000 0.000  -0.04
Ti 0.000 0.500 0.000  -0.12
Ti 0.000 0.000 0.500  -0.12
Fe 0.500 0.000 0.000  1.74
P 0.500 0.500 0.500  0.03

---

Entry 2:
DFT (PBEsol) results for a relaxed structure of Cr2PN2.

* size of the total moment: 0.808 μB/f.u.
* uncorrected formation energy: -0.045 eV/atom

Lattice parameters (Å, degrees): 3.654 3.654 4.521 113.84 113.84 90.00
Last column: magnetic moment on the atom in μB.
Sites, in units of the cell vectors:
N 0.332 0.332 0.665  -0.04
N 0.668 0.668 0.335  -0.04
P 0.000 0.000 0.000  -0.04
Cr 0.250 0.750 0.500  0.46
Cr 0.750 0.250 0.500  0.46

---

- Which value of size of the total moment does entry 1 give?
  1.420 μB/f.u.

---

- size of the total moment of number 2 (Cr2PN2)?
  0.808 μB/f.u.

---

What did the second record say?
DFT (PBEsol) results for a relaxed structure of Cr2PN2.

* size of the total moment: 0.808 μB/f.u.
* uncorrected formation energy: -0.045 eV/atom

Lattice parameters (Å, degrees): 3.654 3.654 4.521 113.84 113.84 90.00
Last column: magnetic moment on the atom in μB.
Sites, in units of the cell vectors:
N 0.332 0.332 0.665  -0.04
N 0.668 0.668 0.335  -0.04
P 0.000 0.000 0.000  -0.04
Cr 0.250 0.750 0.500  0.46
Cr 0.750 0.250 0.500  0.46